## NiAs2HSe (GGA-PBEsol)

Data for a geometry-optimized NiAs2HSe structure.

Results
Crystal system: tetragonal
Total energy in eV/atom: -4.125

Cell: 3.149 5.025 5.025 Å, 90.00 90.00 90.00°
Element x y z (fractional)
As 0.000 0.500 0.000
As 0.000 0.000 0.500
H 0.500 0.000 0.000
Ni 0.500 0.500 0.500
Se 0.000 0.000 0.000

## NiSnAs2H (GGA-PBEsol)

Data for a geometry-optimized NiSnAs2H structure.

Results
Crystal system: tetragonal
Total energy in eV/atom: -4.264

Cell: 4.037 4.037 4.649 Å, 90.00 90.00 90.00°
Element x y z (fractional)
Ni 0.500 0.500 0.500
As 0.000 0.500 0.000
As 0.500 0.000 0.000
Sn 0.000 0.000 0.500
H 0.000 0.000 0.000

## AsHPbO4 (GGA-PBEsol)

Data for a geometry-optimized AsHPbO4 structure.

Results
Crystal system: monoclinic
Total energy in eV/atom: -6.018

Cell: 4.889 5.805 6.661 Å, 90.00 90.00 94.36°
Element x y z (fractional)
H 0.500 0.000 0.500
O 0.248 0.105 0.068
Pb 0.000 0.750 0.209
O 0.248 0.605 0.932
O 0.752 0.895 0.932
As 0.500 0.750 0.794
H 0.500 0.500 0.500
O 0.752 0.395 0.068
O 0.351 0.445 0.360
O 0.649 0.055 0.360
O 0.351 0.945 0.640
O 0.649 0.555 0.640
As 0.500 0.250 0.206
Pb 0.000 0.250 0.791

## ZnAsHPbO5 (GGA-PBEsol)

Data for a geometry-optimized ZnAsHPbO5 structure.

Results
Crystal system: orthorhombic
Total energy in eV/atom: -5.774

Cell: 6.110 7.613 9.323 Å, 90.00 90.00 90.00°
Element x y z (fractional)
Pb 0.968 0.872 0.326
O 0.564 0.802 0.425
O 0.239 0.887 0.795
Zn 0.736 0.270 0.490
O 0.269 0.648 0.222
O 0.436 0.302 0.075
As 0.012 0.874 0.685
O 0.936 0.198 0.925
Pb 0.468 0.628 0.674
O 0.492 0.444 0.426
O 0.731 0.148 0.278
O 0.231 0.352 0.722
Zn 0.764 0.730 0.990
O 0.508 0.944 0.074
O 0.507 0.111 0.562
O 0.493 0.611 0.938
As 0.512 0.626 0.315
O 0.064 0.698 0.575
O 0.007 0.389 0.438
H 0.016 0.504 0.492
Pb 0.032 0.372 0.174
O 0.739 0.613 0.205
Pb 0.532 0.128 0.826
O 0.261 0.113 0.295
As 0.988 0.374 0.815
O 0.993 0.889 0.062
O 0.992 0.056 0.574
As 0.488 0.126 0.185
O 0.008 0.556 0.926
O 0.761 0.387 0.705
H 0.484 0.496 0.992
H 0.516 0.996 0.508
Zn 0.264 0.770 0.010
O 0.769 0.852 0.778
Zn 0.236 0.230 0.510
H 0.984 0.004 0.008

Q: Which of these has the lowest total energy?
A: AsHPbO4

Q: total energy of number 4 (ZnAsHPbO5)?
A: -5.774 eV/atom

Q: What is the formula in the fourth record?
A: ZnAsHPbO5

Q: What is the formula in the first record?
A: NiAs2HSe